NpBeO4: optimized geometry, PBE-GGA.

The structure in POSCAR format:
```
NpBeO4
1.0
5.646 0.000 0.000
0.000 5.646 0.000
0.000 0.000 4.874
Np Be O
2 2 8
Direct
0.000 0.000 0.000
0.500 0.500 0.500
0.000 0.500 0.750
0.500 0.000 0.250
0.139 0.314 0.952
0.186 0.639 0.548
0.314 0.861 0.048
0.361 0.186 0.452
0.639 0.814 0.452
0.686 0.139 0.048
0.814 0.361 0.548
0.861 0.686 0.952
```

Calculated values
The density of states at the Fermi level comes out at 0.068 states/eV per atom. For the raw total energy, the calculation gives -50.88 eV/f.u. For the volume, the calculation gives 77.7 Å³/f.u. The total magnetization comes out at 2.00 μB per cell. Its crystal system is tetragonal. Its symmetry is I-4, No. 82.